# 1
{"formula": "Cu3W", "functional": "PBE", "state": "optimized geometry", "cell": [[2.781, -3.765, 0.000], [2.781, 3.765, 0.000], [0.000, 0.000, 2.552]], "species": ["Cu", "Cu", "Cu", "W"], "frac_coords": [[0.000, 0.000, 0.000], [0.000, 0.500, 0.500], [0.500, 0.000, 0.500], [0.500, 0.500, 0.000]], "magnetic_moment_mub_per_fu": 0.00, "space_group": "Cmmm, No. 65", "energy_ev_per_atom": -5.95}


# 2
{"formula": "Na2UTa2Te6", "functional": "PBE", "state": "optimized geometry", "cell": [[3.492, -5.904, 0.000], [3.492, 5.904, 0.000], [-1.613, 0.000, 8.072]], "species": ["Na", "Na", "U", "Ta", "Ta", "Te", "Te", "Te", "Te", "Te", "Te"], "frac_coords": [[0.174, 0.826, 0.000], [0.826, 0.174, 0.000], [0.000, 0.000, 0.500], [0.373, 0.627, 0.500], [0.627, 0.373, 0.500], [0.046, 0.415, 0.704], [0.282, 0.282, 0.248], [0.415, 0.046, 0.704], [0.585, 0.954, 0.296], [0.718, 0.718, 0.752], [0.954, 0.585, 0.296]], "magnetic_moment_mub_per_fu": 2.67, "raw_formation_energy_ev_per_atom": -0.51, "space_group": "C2/m, No. 12"}


# 3
{"formula": "PrGdThSc", "functional": "PBE", "state": "optimized geometry", "cell": [[0.000, 3.963, 3.963], [3.963, 0.000, 3.963], [3.963, 3.963, 0.000]], "species": ["Pr", "Gd", "Th", "Sc"], "frac_coords": [[0.000, 0.000, 0.000], [0.750, 0.750, 0.750], [0.500, 0.500, 0.500], [0.250, 0.250, 0.250]], "magnetic_moment_mub_per_fu": 7.26, "space_group": "F-43m, No. 216", "energy_ev_per_atom": -8.03}


# 4
{"formula": "Ho4Ga3Ru", "functional": "PBE", "state": "optimized geometry", "cell": [[3.940, 0.000, 0.000], [0.000, 4.290, 0.000], [0.000, 0.000, 10.795]], "species": ["Ho", "Ho", "Ho", "Ho", "Ga", "Ga", "Ga", "Ru"], "frac_coords": [[0.000, 0.000, 0.000], [0.000, 0.500, 0.270], [0.500, 0.000, 0.471], [0.500, 0.500, 0.780], [0.000, 0.000, 0.707], [0.000, 0.500, 0.556], [0.500, 0.500, 0.060], [0.500, 0.000, 0.201]], "magnetic_moment_mub_per_fu": 0.00, "space_group": "Pmm2, No. 25", "energy_ev_per_atom": -5.14}


# 5
{"formula": "Sm8TlCo2", "functional": "PBE", "state": "optimized geometry", "cell": [[4.344, -6.794, 0.000], [4.344, 6.794, 0.000], [-1.254, 0.000, 5.289]], "species": ["Sm", "Sm", "Sm", "Sm", "Sm", "Sm", "Sm", "Sm", "Tl", "Co", "Co"], "frac_coords": [[0.107, 0.107, 0.801], [0.169, 0.427, 0.435], [0.250, 0.750, 0.000], [0.427, 0.169, 0.435], [0.573, 0.831, 0.565], [0.750, 0.250, 0.000], [0.831, 0.573, 0.565], [0.893, 0.893, 0.199], [0.500, 0.500, 0.000], [0.200, 0.800, 0.500], [0.800, 0.200, 0.500]], "magnetic_moment_mub_per_fu": 0.00, "space_group": "C2/m, No. 12", "energy_ev_per_atom": -4.99}


# 6
{"formula": "Tb2Co2Cu", "functional": "PBE", "state": "optimized geometry", "cell": [[4.619, -2.628, 0.000], [4.619, 2.628, 0.000], [-1.981, 0.000, 7.366]], "species": ["Tb", "Tb", "Tb", "Tb", "Co", "Co", "Co", "Co", "Cu", "Cu"], "frac_coords": [[0.005, 0.703, 0.853], [0.297, 0.995, 0.647], [0.703, 0.005, 0.353], [0.995, 0.297, 0.147], [0.213, 0.505, 0.495], [0.495, 0.787, 0.005], [0.505, 0.213, 0.995], [0.787, 0.495, 0.505], [0.356, 0.644, 0.250], [0.644, 0.356, 0.750]], "magnetic_moment_mub_per_fu": 0.22, "space_group": "C2/c, No. 15", "energy_ev_per_atom": -5.69}


# 7
{"formula": "TaCoAg", "functional": "PBE", "state": "optimized geometry", "cell": [[-1.607, 1.607, 4.505], [1.607, -1.607, 4.505], [1.607, 1.607, -4.505]], "species": ["Ta", "Co", "Ag"], "frac_coords": [[0.000, 0.000, 0.000], [0.377, 0.377, 0.000], [0.694, 0.694, 0.000]], "magnetic_moment_mub_per_fu": 0.00, "polymorph_energy_kj_per_mol_fu": 0, "space_group": "I4mm, No. 107"}


# 8
{"formula": "Cd2CuAg", "functional": "PBE", "state": "optimized geometry", "cell": [[0.000, 3.312, 3.312], [3.312, 0.000, 3.312], [3.312, 3.312, 0.000]], "species": ["Cd", "Cd", "Cu", "Ag"], "frac_coords": [[0.000, 0.000, 0.000], [0.250, 0.250, 0.250], [0.500, 0.500, 0.500], [0.750, 0.750, 0.750]], "magnetic_moment_mub_per_fu": 0.00, "space_group": "F-43m, No. 216", "energy_ev_per_atom": -2.12}


# 9
{"formula": "NiIrS2Cl", "functional": "PBE", "state": "optimized geometry", "cell": [[4.451, 0.000, 0.000], [0.000, 4.451, 0.000], [0.000, 0.000, 4.323]], "species": ["Ni", "Ir", "S", "S", "Cl"], "frac_coords": [[0.000, 0.000, 0.000], [0.500, 0.500, 0.500], [0.000, 0.500, 0.000], [0.500, 0.000, 0.000], [0.000, 0.000, 0.500]], "magnetic_moment_mub_per_fu": 1.30, "raw_formation_energy_ev_per_atom": 0.95, "polymorph_energy_kj_per_mol_fu": 82, "space_group": "P4/mmm, No. 123"}


# 10
{"formula": "Ti2Al5Cu2Mo", "functional": "PBE", "state": "optimized geometry", "cell": [[8.908, 0.000, 0.000], [0.000, 8.908, 0.000], [0.000, 0.000, 3.821]], "species": ["Ti", "Ti", "Ti", "Ti", "Al", "Al", "Al", "Al", "Al", "Al", "Al", "Al", "Al", "Al", "Cu", "Cu", "Cu", "Cu", "Mo", "Mo"], "frac_coords": [[0.163, 0.337, 0.000], [0.337, 0.837, 0.000], [0.663, 0.163, 0.000], [0.837, 0.663, 0.000], [0.000, 0.500, 0.500], [0.076, 0.799, 0.500], [0.201, 0.076, 0.500], [0.299, 0.576, 0.500], [0.424, 0.299, 0.500], [0.500, 0.000, 0.500], [0.576, 0.701, 0.500], [0.701, 0.424, 0.500], [0.799, 0.924, 0.500], [0.924, 0.201, 0.500], [0.132, 0.632, 0.000], [0.368, 0.132, 0.000], [0.632, 0.868, 0.000], [0.868, 0.368, 0.000], [0.000, 0.000, 0.000], [0.500, 0.500, 0.000]], "magnetic_moment_mub_per_fu": 0.00, "space_group": "P4/mbm, No. 127", "energy_ev_per_atom": -5.57}


# 11
{"formula": "NdYIn3", "functional": "PBE", "state": "optimized geometry", "cell": [[-2.943, 2.943, 10.988], [2.943, -2.943, 10.988], [2.943, 2.943, -10.988]], "species": ["Nd", "Nd", "Y", "Y", "In", "In", "In", "In", "In", "In"], "frac_coords": [[0.086, 0.086, 0.000], [0.914, 0.914, 0.000], [0.250, 0.750, 0.500], [0.500, 0.500, 0.000], [0.371, 0.126, 0.755], [0.371, 0.617, 0.245], [0.383, 0.629, 0.755], [0.504, 0.004, 0.500], [0.874, 0.629, 0.245], [0.996, 0.496, 0.500]], "magnetic_moment_mub_per_fu": 0.00, "space_group": "I-4m2, No. 119", "energy_ev_per_atom": -3.84}


# 12
{"formula": "Ce2Pr2Pt15", "functional": "PBE", "state": "optimized geometry", "cell": [[4.702, 2.715, 4.644], [-4.702, 2.715, 4.644], [0.000, -5.430, 4.644]], "species": ["Ce", "Ce", "Pr", "Pr", "Pt", "Pt", "Pt", "Pt", "Pt", "Pt", "Pt", "Pt", "Pt", "Pt", "Pt", "Pt", "Pt", "Pt", "Pt"], "frac_coords": [[0.100, 0.100, 0.100], [0.900, 0.900, 0.900], [0.358, 0.358, 0.358], [0.642, 0.642, 0.642], [0.000, 0.000, 0.500], [0.000, 0.317, 0.683], [0.000, 0.500, 0.000], [0.000, 0.683, 0.317], [0.162, 0.655, 0.655], [0.317, 0.000, 0.683], [0.317, 0.683, 0.000], [0.345, 0.345, 0.838], [0.345, 0.838, 0.345], [0.500, 0.000, 0.000], [0.655, 0.162, 0.655], [0.655, 0.655, 0.162], [0.683, 0.000, 0.317], [0.683, 0.317, 0.000], [0.838, 0.345, 0.345]], "magnetic_moment_mub_per_fu": 0.68, "space_group": "R-3m, No. 166", "energy_ev_per_atom": -6.61}